[1]
NdRh6: relaxed, GGA-PBE.

Formation energy: 0.403 eV per atom
Electronic total energy: -46.1 eV per formula unit

Cell and atoms, written as POSCAR:
```
NdRh6
1.0
-3.375 3.375 3.375
3.375 -3.375 3.375
3.375 3.375 -3.375
Nd Rh
1 6
direct
0.000 0.000 0.000
0.250 0.500 0.750
0.250 0.750 0.500
0.500 0.250 0.750
0.500 0.750 0.250
0.750 0.250 0.500
0.750 0.500 0.250
```

[2]
Nd2Rh: relaxed, GGA-PBE.

Formation energy: -0.413 eV per atom
Electronic total energy: -18.1 eV per formula unit

Cell and atoms, written as POSCAR:
```
Nd2Rh
1.0
0.000 2.530 6.581
2.522 0.000 6.581
2.522 2.530 0.000
Nd Rh
2 1
direct
0.127 0.127 0.873
0.873 0.873 0.127
0.500 0.500 0.500
```